The following is a GGA+U calculation of an optimized crystal structure of LiTmMo2O8, from the Alexandria database.

abc: 6.0561 6.0561 6.0561
angles: 106.79 106.79 114.97
Closest atoms and distances in Å follow each position.
Sites, in units of the cell vectors:
Li  0.2500  0.7500  0.5000  4 O 2.28
Tm  0.0000  0.0000  0.0000  4 O 2.24
Mo  0.7500  0.2500  0.5000  4 O 1.79
Mo  0.5000  0.5000  0.0000  4 O 1.80
O  0.3882  0.0886  0.2996  1 Mo 1.79
O  0.3224  0.5136  0.1913  1 Mo 1.80
O  0.3224  0.1311  0.8087  1 Mo 1.80
O  0.7891  0.0886  0.7004  1 Mo 1.79
O  0.8689  0.6776  0.1913  1 Mo 1.80
O  0.9114  0.2109  0.2996  1 Mo 1.79
O  0.9114  0.6118  0.7004  1 Mo 1.79
O  0.4864  0.6776  0.8087  1 Mo 1.80

Uncorrected energy ... -7.14 eV/atom